1.
Ge2Au3 | PBE-GGA | relaxed

Results
Crystal system: monoclinic
Calculated total energy in eV per atom: -3.759
Formation enthalpy at 0 K in eV per atom: 0.055

```
data_Ge2Au3
_space_group_name_H-M_alt 'C 1 2/c 1'
_space_group_IT_number 15
_cell_length_a 11.250
_cell_length_b 6.018
_cell_length_c 7.952
_cell_angle_alpha 90.00
_cell_angle_beta 131.21
_cell_angle_gamma 90.00
loop_
_space_group_symop_operation_xyz
'x,y,z'
'-x,-y,-z'
'-x,y,-z+1/2'
'x,-y,z+1/2'
'x+1/2,y+1/2,z'
'-x+1/2,-y+1/2,-z'
'-x+1/2,y+1/2,-z+1/2'
'x+1/2,-y+1/2,z+1/2'
loop_
_atom_site_label
_atom_site_type_symbol
_atom_site_fract_x
_atom_site_fract_y
_atom_site_fract_z
Ge1 Ge 0.210 0.029 0.382
Au1 Au 0.000 0.388 0.250
Au2 Au 0.075 0.201 0.994
```


2.
GeAu3 | PBE-GGA | relaxed

Results
Crystal system: orthorhombic
Calculated total energy in eV per atom: -3.537
Formation enthalpy at 0 K in eV per atom: 0.075

```
data_GeAu3
_space_group_name_H-M_alt 'C m c m'
_space_group_IT_number 63
_space_group_name_Hall '-C 2c 2'
_cell_length_a 9.428
_cell_length_b 5.958
_cell_length_c 5.576
_cell_angle_alpha 90.00
_cell_angle_beta 90.00
_cell_angle_gamma 90.00
loop_
_atom_site_label
_atom_site_type_symbol
_atom_site_fract_x
_atom_site_fract_y
_atom_site_fract_z
Ge1 Ge 0.000 0.243 0.250
Au1 Au 0.000 0.199 0.750
Au2 Au 0.226 0.495 0.250
```


3.
GeAu2 | PBE-GGA | relaxed

Results
Crystal system: monoclinic
Calculated total energy in eV per atom: -3.662
Formation enthalpy at 0 K in eV per atom: 0.062

```
data_GeAu2
_space_group_name_H-M_alt 'C 1 2/m 1'
_space_group_IT_number 12
_cell_length_a 5.633
_cell_length_b 3.365
_cell_length_c 12.200
_cell_angle_alpha 90.00
_cell_angle_beta 98.56
_cell_angle_gamma 90.00
loop_
_space_group_symop_operation_xyz
'x,y,z'
'-x,-y,-z'
'-x,y,-z'
'x,-y,z'
'x+1/2,y+1/2,z'
'-x+1/2,-y+1/2,-z'
'-x+1/2,y+1/2,-z'
'x+1/2,-y+1/2,z'
loop_
_atom_site_label
_atom_site_type_symbol
_atom_site_fract_x
_atom_site_fract_y
_atom_site_fract_z
Ge1 Ge 0.000 0.000 0.000
Ge2 Ge 0.000 0.500 0.500
Au1 Au 0.111 0.000 0.340
Au2 Au 0.214 0.500 0.161
```


4.
GeAu | PBE-GGA | relaxed

Results
Crystal system: hexagonal
Calculated total energy in eV per atom: -3.803
Formation enthalpy at 0 K in eV per atom: 0.144

```
data_GeAu
_space_group_name_H-M_alt 'P 63 m c'
_space_group_IT_number 186
_space_group_name_Hall 'P 6c -2c'
_cell_length_a 3.3661
_cell_length_b 3.3661
_cell_length_c 8.5145
_cell_angle_alpha 90.00
_cell_angle_beta 90.00
_cell_angle_gamma 120.00
loop_
_atom_site_label
_atom_site_type_symbol
_atom_site_fract_x
_atom_site_fract_y
_atom_site_fract_z
Ge1 Ge 0.3333 0.6667 0.0000
Au1 Au 0.3333 0.6667 0.7031
```